(1)
DFT (PBE) results for an optimized crystal structure of KSb.

Properties
Formation energy without anion corrections in eV per atom: -0.26
Relative energy among the computed polymorphs in eV/atom: 0.175
Crystal system: trigonal
Symmetry: R-3m (166)

a b c (Å): 6.4203 6.4203 6.4203
angles (deg): 50.22 50.22 50.22
With the nearest neighbours (Å) after each atom.
Sites, in units of the cell vectors:
K 0.0063 0.0063 0.0063  3 K 3.53, 7 Sb 3.60-3.86
K 0.2437 0.2437 0.2437  3 K 3.53, 7 Sb 3.60-3.86
Sb 0.7768 0.7768 0.7768  3 Sb 3.19
Sb 0.4732 0.4732 0.4732  3 Sb 3.19

***

(2)
DFT (PBE) results for an optimized crystal structure of OsF4.

Properties
Formation energy without anion corrections in eV per atom: -0.93
Crystal system: cubic
Symmetry: Pm-3m (221)

a b c (Å): 3.9345 3.9345 3.9345
angles (deg): 90.00 90.00 90.00
With the nearest neighbours (Å) after each atom.
Sites, in units of the cell vectors:
F 0.5000 0.5000 0.0000  2 Os 1.97
F 0.0000 0.5000 0.5000  2 Os 1.97
F 0.5000 0.0000 0.5000  2 Os 1.97
F 0.0000 0.0000 0.0000  12 F 2.78
Os 0.5000 0.5000 0.5000  6 F 1.97

***

(3)
DFT (PBE) results for an optimized crystal structure of YBr3O.

Properties
Formation energy without anion corrections in eV per atom: -0.77
Relative energy among the computed polymorphs in eV/atom: 0.000
Crystal system: cubic
Symmetry: Pm-3m (221)

a b c (Å): 5.5837 5.5837 5.5837
angles (deg): 90.00 90.00 90.00
With the nearest neighbours (Å) after each atom.
Sites, in units of the cell vectors:
Y 0.0000 0.0000 0.0000  6 Br 2.79
Br 0.0000 0.0000 0.5000  2 Y 2.79
Br 0.5000 0.0000 0.0000  2 Y 2.79
Br 0.0000 0.5000 0.0000  2 Y 2.79
O 0.5000 0.5000 0.5000  12 Br 3.95

***

(4)
DFT (PBE) results for an optimized crystal structure of CsSeO.

Properties
Formation energy without anion corrections in eV per atom: -0.93
Relative energy among the computed polymorphs in eV/atom: 0.052
Crystal system: triclinic
Symmetry: P-1 (2)

a b c (Å): 7.2773 7.5124 7.2981
angles (deg): 96.39 107.43 72.92
With the nearest neighbours (Å) after each atom.
Sites, in units of the cell vectors:
Se 0.2861 0.0550 0.3497  2 O 1.76-1.93
Se 0.7139 0.9450 0.6503  2 O 1.76-1.93
Se 0.3884 0.3390 0.7287  1 O 1.93
Se 0.6116 0.6610 0.2713  1 O 1.93
Cs 0.7484 0.1105 0.1793  3 O 3.07-3.17
Cs 0.2516 0.8895 0.8207  3 O 3.07-3.17
Cs 0.8643 0.4271 0.7323  2 O 2.99-3.09
Cs 0.1357 0.5729 0.2677  2 O 2.99-3.09
O 0.1313 0.1806 0.1428  1 Se 1.76
O 0.8687 0.8194 0.8572  1 Se 1.76
O 0.2056 0.2136 0.5557  2 Se 1.93
O 0.7944 0.7864 0.4443  2 Se 1.93

***

| no. | magnetization (μB per formula unit) |
| --- | --- |
| 1 | 0.00 |
| 2 | 0.26 |
| 3 | 2.00 |
| 4 | 0.00 |